No. 1
This record from the Alexandria database describes a geometry-optimized MgCo2Te structure. The functional is GGA-PBE.

## Properties
The uncorrected formation energy comes out at 0.40 eV per atom. The value obtained for the density is 6.76 Mg/m³. The relative energy among the computed polymorphs comes out at 0.321 eV per atom. Its space group is R-3m, No. 166.

```
MgCo2Te
1.0
1.5886 0.9172 7.5844
-1.5886 0.9172 7.5844
0.0000 -1.8343 7.5844
Mg Co Te
1 2 1
Cartesian
0.0000 0.0000 0.0000
0.0000 0.0000 5.5312
0.0000 0.0000 17.2221
0.0000 0.0000 11.3766
```


No. 2
This record from the Alexandria database describes a geometry-optimized Mg5Si6 structure. The functional is GGA-PBE.

## Properties
The uncorrected formation energy comes out at 0.04 eV per atom. The value obtained for the density is 2.35 Mg/m³. The relative energy among the computed polymorphs comes out at 0.015 eV per atom. Its space group is Cm, No. 8.

```
Mg5Si6
1.0
14.6667 -2.0712 0.0000
14.6667 2.0712 0.0000
-1.1128 0.0000 6.7365
Mg Si
10 12
Cartesian
0.0000 0.0000 0.0000
4.5347 0.0000 1.9809
8.9325 0.0000 4.0914
10.8018 0.0000 1.0428
11.8885 0.0000 4.6289
14.3628 0.0000 2.3968
17.2225 0.0000 0.6042
17.6385 0.0000 3.8584
20.5617 0.0000 0.0471
21.1032 0.0000 3.5718
0.9743 0.0000 4.5368
1.7551 0.0000 2.2490
2.9113 0.0000 6.0023
4.8635 0.0000 4.6656
7.3210 0.0000 1.7232
6.8008 0.0000 6.0598
14.4896 0.0000 5.1002
23.4167 0.0000 1.7603
22.8193 0.0000 6.0628
25.3068 0.0000 3.2448
25.3282 0.0000 6.0706
27.1771 0.0000 1.7470
```


No. 3
This record from the Alexandria database describes a geometry-optimized LaTlW2 structure. The functional is GGA-PBE.

## Properties
The value obtained for the density is 13.75 Mg/m³. The relative energy among the computed polymorphs comes out at 0.528 eV per atom. Its energy relative to the elements is 0.86 eV/atom. Its space group is F-43m, No. 216.

```
LaTlW2
1.0
0.0000 3.5016 3.5016
3.5016 0.0000 3.5016
3.5016 3.5016 0.0000
La Tl W
1 1 2
Cartesian
0.0000 0.0000 0.0000
5.2524 5.2524 5.2524
1.7508 1.7508 1.7508
3.5016 3.5016 3.5016
```


No. 4
This record from the Alexandria database describes a geometry-optimized Pr2Y7Th structure. The functional is GGA-PBE.

## Properties
The value obtained for the density is 5.60 Mg/m³. The relative energy among the computed polymorphs comes out at 0.000 eV per atom. Its energy relative to the elements is 0.16 eV/atom. Its space group is Cmmm, No. 65.

```
Pr2Y7Th
1.0
3.3177 -14.5336 0.0000
3.3177 14.5336 0.0000
0.0000 0.0000 3.4954
Pr Y Th
2 7 1
Cartesian
3.3177 8.5980 0.0000
3.3177 -8.5980 0.0000
0.0000 0.0000 0.0000
1.7018 2.8307 0.0000
3.3177 5.4369 1.7477
1.7018 -2.8307 0.0000
4.9336 2.8307 0.0000
3.3177 -5.4369 1.7477
4.9336 -2.8307 0.0000
3.3177 0.0000 1.7477
```